{"formula": "KSrP2", "functional": "PBE", "state": "optimized geometry", "e_above_lowest_polymorph_kj_per_mol_atoms": 8.3, "e_form_ev_per_atom": -0.56, "magmom_total_mub_per_cell": 0.000, "space_group": "Amm2, No. 38", "lattice": [[-2.644, -1.061, -3.118], [-0.187, -4.407, 1.658], [-4.384, -0.829, 4.001]], "species": ["Sr", "P", "P", "K"], "frac_coords": [[0.000, 0.496, 0.383], [0.500, 0.064, 0.247], [0.000, 0.171, 0.033], [0.500, 0.769, 0.838]]}

{"formula": "KSrP2", "functional": "PBE", "state": "optimized geometry", "e_above_lowest_polymorph_kj_per_mol_atoms": 14.4, "e_form_ev_per_atom": -0.49, "magmom_total_mub_per_cell": 0.000, "space_group": "C2/m, No. 12", "lattice": [[-4.470, -1.313, 3.159], [-1.067, -3.481, 4.292], [-0.716, 2.426, 6.792]], "species": ["K", "Sr", "P", "P"], "frac_coords": [[0.250, 0.250, 0.250], [0.750, 0.750, 0.750], [0.997, 0.997, 0.834], [0.503, 0.503, 0.666]]}

{"formula": "KSrP2", "functional": "PBE", "state": "optimized geometry", "e_above_lowest_polymorph_kj_per_mol_atoms": 46.3, "e_form_ev_per_atom": -0.16, "magmom_total_mub_per_cell": 0.000, "space_group": "Fm-3m, No. 225", "lattice": [[-0.131, -5.107, 1.407], [-4.509, -2.750, -0.423], [-0.474, -3.758, -3.705]], "species": ["P", "Sr", "P", "K"], "frac_coords": [[0.250, 0.250, 0.250], [0.500, 0.500, 0.500], [0.750, 0.750, 0.750], [0.000, 0.000, 0.000]]}

{"formula": "KSr2P2", "functional": "PBE", "state": "optimized geometry", "e_above_lowest_polymorph_kj_per_mol_atoms": 18.9, "e_form_ev_per_atom": -0.50, "magmom_total_mub_per_cell": 0.574, "space_group": "I4/mmm, No. 139", "lattice": [[5.248, 0.000, 0.000], [0.000, 5.248, 0.000], [2.624, 2.624, 5.850]], "species": ["P", "Sr", "Sr", "K", "P"], "frac_coords": [[0.390, 0.390, 0.219], [0.250, 0.750, 0.500], [0.750, 0.250, 0.500], [0.000, 0.000, 0.000], [0.610, 0.610, 0.781]]}

{"formula": "KSr2P2", "functional": "PBE", "state": "optimized geometry", "e_above_lowest_polymorph_kj_per_mol_atoms": 0.0, "e_form_ev_per_atom": -0.70, "magmom_total_mub_per_cell": 0.000, "space_group": "P4/mbm, No. 127", "lattice": [[8.893, 0.000, 0.000], [0.000, 8.893, 0.000], [0.000, 0.000, 3.695]], "species": ["Sr", "K", "Sr", "K", "P", "P", "Sr", "P", "Sr", "P"], "frac_coords": [[0.136, 0.636, 0.500], [0.500, 0.500, 0.000], [0.364, 0.136, 0.500], [0.000, 0.000, 0.000], [0.663, 0.163, 0.000], [0.163, 0.337, 0.000], [0.636, 0.864, 0.500], [0.837, 0.663, 0.000], [0.864, 0.364, 0.500], [0.337, 0.837, 0.000]]}

{"formula": "KSrP2", "functional": "PBE", "state": "optimized geometry", "e_above_lowest_polymorph_kj_per_mol_atoms": 5.6, "e_form_ev_per_atom": -0.59, "magmom_total_mub_per_cell": 0.000, "space_group": "Cm, No. 8", "lattice": [[-0.173, -5.807, 1.775], [3.150, -5.184, -0.324], [2.077, 2.232, 3.952]], "species": ["P", "P", "K", "Sr"], "frac_coords": [[0.958, 0.958, 0.039], [0.801, 0.801, 0.709], [0.238, 0.238, 0.157], [0.502, 0.502, 0.595]]}

{"formula": "KSrP2", "functional": "PBE", "state": "optimized geometry", "e_above_lowest_polymorph_kj_per_mol_atoms": 56.7, "e_form_ev_per_atom": -0.06, "magmom_total_mub_per_cell": 0.000, "space_group": "Pmmm, No. 47", "lattice": [[3.040, 0.000, 0.000], [0.000, 5.581, 0.000], [0.000, 0.000, 6.292]], "species": ["P", "P", "K", "Sr"], "frac_coords": [[0.500, 0.500, 0.375], [0.000, 0.000, 0.875], [0.500, 0.500, 0.875], [0.000, 0.000, 0.375]]}

{"formula": "K2Sr4P", "functional": "PBE", "state": "optimized geometry", "e_form_ev_per_atom": -0.22, "magmom_total_mub_per_cell": 0.000, "space_group": "I4/mmm, No. 139", "lattice": [[6.009, 0.000, 0.000], [0.000, 6.009, 0.000], [3.005, 3.005, 11.314]], "species": ["K", "Sr", "Sr", "P", "Sr", "Sr", "K"], "frac_coords": [[0.327, 0.327, 0.346], [0.000, 0.500, 0.000], [0.500, 0.000, 0.000], [0.000, 0.000, 0.000], [0.869, 0.869, 0.262], [0.131, 0.131, 0.738], [0.673, 0.673, 0.654]]}